# MgNiAs2Br

A crystal of MgNiAs2Br relaxed with PBEsol (meta-GGA SCAN, the Alexandria database).

## Properties
Offset from the most stable computed form, eV/atom: 0.000
Raw total energy, eV/atom: -16.070
ΔE_f (raw), meV per atom: 127

abc: 4.3665 4.3665 5.9713
angles: 90.00 90.00 90.00
Atoms (fractional coordinates):
1 Mg 0.0000 0.0000 0.0000
2 Ni 0.5000 0.5000 0.5000
3 As 0.0000 0.5000 0.5000
4 As 0.5000 0.0000 0.5000
5 Br 0.5000 0.5000 0.0000

---

# MgNiAs2Br

A crystal of MgNiAs2Br relaxed with PBEsol (meta-GGA SCAN, the Alexandria database).

## Properties
Offset from the most stable computed form, eV/atom: 0.766
Raw total energy, eV/atom: -15.304
ΔE_f (raw), meV per atom: 894

abc: 4.8924 4.8924 4.9542
angles: 90.00 90.00 90.00
Atoms (fractional coordinates):
1 Mg 0.0000 0.0000 0.0000
2 Ni 0.5000 0.5000 0.5000
3 As 0.0000 0.5000 0.0000
4 As 0.5000 0.0000 0.0000
5 Br 0.0000 0.0000 0.5000

---

# MgAs2BrO

A crystal of MgAs2BrO relaxed with PBEsol (meta-GGA SCAN, the Alexandria database).

## Properties
Raw total energy, eV/atom: -13.376
ΔE_f (raw), meV per atom: 833

abc: 4.9860 4.9860 4.8960
angles: 90.00 90.00 90.00
Atoms (fractional coordinates):
1 Mg 0.0000 0.0000 0.0000
2 As 0.0000 0.5000 0.0000
3 As 0.5000 0.0000 0.0000
4 Br 0.0000 0.0000 0.5000
5 O 0.5000 0.5000 0.5000

---

# MgAsBr2O

A crystal of MgAsBr2O relaxed with PBEsol (meta-GGA SCAN, the Alexandria database).

## Properties
Raw total energy, eV/atom: -13.846
ΔE_f (raw), meV per atom: 217

abc: 4.8415 4.8415 4.2052
angles: 90.00 90.00 90.00
Atoms (fractional coordinates):
1 Mg 0.0000 0.0000 0.0000
2 As 0.5000 0.5000 0.0000
3 Br 0.0000 0.5000 0.5000
4 Br 0.5000 0.0000 0.5000
5 O 0.5000 0.5000 0.5000

---

# MgAs2OsBr

A crystal of MgAs2OsBr relaxed with PBEsol (meta-GGA SCAN, the Alexandria database).

## Properties
Raw total energy, eV/atom: -25.916
ΔE_f (raw), meV per atom: 1423

abc: 4.8923 4.8923 4.7758
angles: 90.00 90.00 90.00
Atoms (fractional coordinates):
1 Mg 0.0000 0.0000 0.0000
2 As 0.0000 0.5000 0.0000
3 As 0.5000 0.0000 0.0000
4 Os 0.5000 0.5000 0.5000
5 Br 0.0000 0.0000 0.5000

---

# MgAs2PdBr

A crystal of MgAs2PdBr relaxed with PBEsol (meta-GGA SCAN, the Alexandria database).

## Properties
Raw total energy, eV/atom: -19.288
ΔE_f (raw), meV per atom: 229

abc: 4.8020 4.8020 5.2277
angles: 90.00 90.00 90.00
Atoms (fractional coordinates):
1 Mg 0.0000 0.0000 0.0000
2 As 0.0000 0.5000 0.5000
3 As 0.5000 0.0000 0.5000
4 Pd 0.5000 0.5000 0.5000
5 Br 0.5000 0.5000 0.0000

---

# MgAs2PtBr

A crystal of MgAs2PtBr relaxed with PBEsol (meta-GGA SCAN, the Alexandria database).

## Properties
Offset from the most stable computed form, eV/atom: 0.000
Raw total energy, eV/atom: -26.733
ΔE_f (raw), meV per atom: 269

abc: 4.8419 4.8419 5.2365
angles: 90.00 90.00 90.00
Atoms (fractional coordinates):
1 Mg 0.0000 0.0000 0.0000
2 As 0.0000 0.5000 0.5000
3 As 0.5000 0.0000 0.5000
4 Pt 0.5000 0.5000 0.5000
5 Br 0.5000 0.5000 0.0000

---

# MgAsPtBr2

A crystal of MgAsPtBr2 relaxed with PBEsol (meta-GGA SCAN, the Alexandria database).

## Properties
Raw total energy, eV/atom: -26.351
ΔE_f (raw), meV per atom: 504

abc: 4.8369 4.8369 5.2413
angles: 90.00 90.00 90.00
Atoms (fractional coordinates):
1 Mg 0.0000 0.0000 0.0000
2 As 0.0000 0.0000 0.5000
3 Pt 0.5000 0.5000 0.5000
4 Br 0.0000 0.5000 0.0000
5 Br 0.5000 0.0000 0.0000

---

# MgReAs2Br

A crystal of MgReAs2Br relaxed with PBEsol (meta-GGA SCAN, the Alexandria database).

## Properties
Raw total energy, eV/atom: -25.853
ΔE_f (raw), meV per atom: 1329

abc: 4.9380 4.9380 4.8437
angles: 90.00 90.00 90.00
Atoms (fractional coordinates):
1 Mg 0.0000 0.0000 0.0000
2 Re 0.5000 0.5000 0.5000
3 As 0.0000 0.5000 0.0000
4 As 0.5000 0.0000 0.0000
5 Br 0.0000 0.0000 0.5000

---

# MgAsSeBr2

A crystal of MgAsSeBr2 relaxed with PBEsol (meta-GGA SCAN, the Alexandria database).

## Properties
Raw total energy, eV/atom: -16.840
ΔE_f (raw), meV per atom: -8

abc: 4.8622 4.8622 5.5758
angles: 90.00 90.00 90.00
Atoms (fractional coordinates):
1 Mg 0.0000 0.0000 0.0000
2 As 0.0000 0.0000 0.5000
3 Se 0.5000 0.5000 0.5000
4 Br 0.0000 0.5000 0.0000
5 Br 0.5000 0.0000 0.0000

---

# MgSnAsBr2

A crystal of MgSnAsBr2 relaxed with PBEsol (meta-GGA SCAN, the Alexandria database).

## Properties
Raw total energy, eV/atom: -20.291
ΔE_f (raw), meV per atom: -290

abc: 4.9536 4.9536 5.4201
angles: 90.00 90.00 90.00
Atoms (fractional coordinates):
1 Mg 0.0000 0.0000 0.0000
2 Sn 0.5000 0.5000 0.5000
3 As 0.0000 0.0000 0.5000
4 Br 0.0000 0.5000 0.0000
5 Br 0.5000 0.0000 0.0000

---

# MgZrAsBr2

A crystal of MgZrAsBr2 relaxed with PBEsol (meta-GGA SCAN, the Alexandria database).

## Properties
Raw total energy, eV/atom: -19.460
ΔE_f (raw), meV per atom: -503

abc: 5.1618 5.1618 5.3383
angles: 90.00 90.00 90.00
Atoms (fractional coordinates):
1 Mg 0.0000 0.0000 0.0000
2 Zr 0.5000 0.5000 0.5000
3 As 0.5000 0.5000 0.0000
4 Br 0.0000 0.5000 0.5000
5 Br 0.5000 0.0000 0.5000

---

# MnAs2Br

A crystal of MnAs2Br relaxed with PBEsol (meta-GGA SCAN, the Alexandria database).

## Properties
Raw total energy, eV/atom: -19.447
ΔE_f (raw), meV per atom: 77

abc: 6.0935 6.0935 6.0935
angles: 151.25 135.65 53.72
Atoms (fractional coordinates):
1 Mn 0.0000 0.0000 0.0000
2 As 0.2021 0.7021 0.5000
3 As 0.7979 0.2979 0.5000
4 Br 0.5000 0.5000 0.0000

---

# MnAsBr4

A crystal of MnAsBr4 relaxed with PBEsol (meta-GGA SCAN, the Alexandria database).

## Properties
Raw total energy, eV/atom: -18.543
ΔE_f (raw), meV per atom: 837

abc: 6.0106 6.0106 6.0106
angles: 60.00 60.00 60.00
Atoms (fractional coordinates):
1 Mn 0.0000 0.0000 0.0000
2 As 0.2500 0.2500 0.2500
3 Br 0.1234 0.6255 0.6255
4 Br 0.6255 0.1234 0.6255
5 Br 0.6255 0.6255 0.1234
6 Br 0.6255 0.6255 0.6255

---

# MnAsBr3

A crystal of MnAsBr3 relaxed with PBEsol (meta-GGA SCAN, the Alexandria database).

## Properties
Raw total energy, eV/atom: -19.383
ΔE_f (raw), meV per atom: -18

abc: 5.2842 5.2842 5.2842
angles: 90.00 90.00 90.00
Atoms (fractional coordinates):
1 Mn 0.0000 0.0000 0.0000
2 As 0.5000 0.5000 0.5000
3 Br 0.0000 0.5000 0.5000
4 Br 0.5000 0.0000 0.5000
5 Br 0.5000 0.5000 0.0000

---

# MnNiAsBr2

A crystal of MnNiAsBr2 relaxed with PBEsol (meta-GGA SCAN, the Alexandria database).

## Properties
Raw total energy, eV/atom: -18.511
ΔE_f (raw), meV per atom: 197

abc: 4.7507 4.7507 4.7379
angles: 90.00 90.00 90.00
Atoms (fractional coordinates):
1 Mn 0.0000 0.0000 0.0000
2 Ni 0.5000 0.5000 0.5000
3 As 0.5000 0.5000 0.0000
4 Br 0.0000 0.5000 0.5000
5 Br 0.5000 0.0000 0.5000

---

# MnNiAs2Br

A crystal of MnNiAs2Br relaxed with PBEsol (meta-GGA SCAN, the Alexandria database).

## Properties
Raw total energy, eV/atom: -18.176
ΔE_f (raw), meV per atom: 677

abc: 4.3818 4.3818 5.1205
angles: 90.00 90.00 90.00
Atoms (fractional coordinates):
1 Mn 0.0000 0.0000 0.0000
2 Ni 0.5000 0.5000 0.5000
3 As 0.0000 0.5000 0.0000
4 As 0.5000 0.0000 0.0000
5 Br 0.0000 0.0000 0.5000

---

# MnAsPdBr2

A crystal of MnAsPdBr2 relaxed with PBEsol (meta-GGA SCAN, the Alexandria database).

## Properties
Raw total energy, eV/atom: -21.838
ΔE_f (raw), meV per atom: 190

abc: 4.9738 4.9738 4.9491
angles: 90.00 90.00 90.00
Atoms (fractional coordinates):
1 Mn 0.0000 0.0000 0.0000
2 As 0.5000 0.5000 0.0000
3 Pd 0.5000 0.5000 0.5000
4 Br 0.0000 0.5000 0.5000
5 Br 0.5000 0.0000 0.5000

---

# MnReAsBr2

A crystal of MnReAsBr2 relaxed with PBEsol (meta-GGA SCAN, the Alexandria database).

## Properties
Raw total energy, eV/atom: -28.711
ΔE_f (raw), meV per atom: 982

abc: 4.7538 4.7538 5.1787
angles: 90.00 90.00 90.00
Atoms (fractional coordinates):
1 Mn 0.0000 0.0000 0.0000
2 Re 0.5000 0.5000 0.5000
3 As 0.0000 0.0000 0.5000
4 Br 0.0000 0.5000 0.0000
5 Br 0.5000 0.0000 0.0000

---

# MnAsRhBr2

A crystal of MnAsRhBr2 relaxed with PBEsol (meta-GGA SCAN, the Alexandria database).

## Properties
Raw total energy, eV/atom: -21.682
ΔE_f (raw), meV per atom: 545

abc: 4.7753 4.7753 4.6651
angles: 90.00 90.00 90.00
Atoms (fractional coordinates):
1 Mn 0.0000 0.0000 0.0000
2 As 0.0000 0.0000 0.5000
3 Rh 0.5000 0.5000 0.5000
4 Br 0.0000 0.5000 0.0000
5 Br 0.5000 0.0000 0.0000